No. 1
# Nb2TcHPt PBE optimized geometry
data_Nb2TcHPt
_cell_length_a 4.176
_cell_length_b 4.176
_cell_length_c 3.902
_cell_angle_alpha 90.00
_cell_angle_beta 90.00
_cell_angle_gamma 90.00
_symmetry_space_group_name_H-M 'P 1'
_symmetry_Int_Tables_number 1
loop_
_symmetry_equiv_pos_as_xyz
'x,y,z'
loop_
_atom_site_label
_atom_site_type_symbol
_atom_site_fract_x
_atom_site_fract_y
_atom_site_fract_z
Pt1 Pt 0.000 0.000 0.500
H1 H 0.000 0.000 0.000
Tc1 Tc 0.500 0.500 0.500
Nb1 Nb 0.500 0.000 0.000
Nb2 Nb 0.000 0.500 0.000
# V	68.07	Å³ per cell
# energy	-0.3027	Ha/atom
# N(E_F)	0.72	states/eV/atom

=====

No. 2
# NdLu2Pu PBE optimized geometry
data_NdLu2Pu
_cell_length_a 4.913
_cell_length_b 4.958
_cell_length_c 4.958
_cell_angle_alpha 90.00
_cell_angle_beta 90.00
_cell_angle_gamma 90.00
_symmetry_space_group_name_H-M 'P 1'
_symmetry_Int_Tables_number 1
loop_
_symmetry_equiv_pos_as_xyz
'x,y,z'
loop_
_atom_site_label
_atom_site_type_symbol
_atom_site_fract_x
_atom_site_fract_y
_atom_site_fract_z
Lu1 Lu 0.000 0.500 0.000
Lu2 Lu 0.000 0.000 0.500
Pu1 Pu 0.500 0.500 0.500
Nd1 Nd 0.500 0.000 0.000
# V	120.76	Å³ per cell
# calculated formation energy	0.14	eV/atom
# N(E_F)	3.85	states/eV/atom

=====

No. 3
# PrSi2BRu2 PBE optimized geometry
data_PrSi2BRu2
_cell_length_a 4.149
_cell_length_b 4.149
_cell_length_c 5.423
_cell_angle_alpha 90.00
_cell_angle_beta 90.00
_cell_angle_gamma 90.00
_symmetry_space_group_name_H-M 'P 1'
_symmetry_Int_Tables_number 1
loop_
_symmetry_equiv_pos_as_xyz
'x,y,z'
loop_
_atom_site_label
_atom_site_type_symbol
_atom_site_fract_x
_atom_site_fract_y
_atom_site_fract_z
Pr1 Pr 0.000 0.000 0.500
Si1 Si 0.500 0.500 0.276
Ru1 Ru 0.000 0.500 0.000
B1 B 0.000 0.000 0.000
Si2 Si 0.500 0.500 0.724
Ru2 Ru 0.500 0.000 0.000
# V	93.36	Å³ per cell
# energy	-0.2744	Ha/atom
# N(E_F)	0.41	states/eV/atom

=====

No. 4
# Ba2BS4 PBE optimized geometry
data_Ba2BS4
_cell_length_a 6.934
_cell_length_b 5.844
_cell_length_c 9.556
_cell_angle_alpha 90.00
_cell_angle_beta 101.51
_cell_angle_gamma 90.00
_symmetry_space_group_name_H-M 'P 1'
_symmetry_Int_Tables_number 1
loop_
_symmetry_equiv_pos_as_xyz
'x,y,z'
loop_
_atom_site_label
_atom_site_type_symbol
_atom_site_fract_x
_atom_site_fract_y
_atom_site_fract_z
Ba1 Ba 0.730 0.750 0.045
S1 S 0.486 0.986 0.272
B1 B 0.723 0.250 0.784
S2 S 0.920 0.250 0.666
Ba2 Ba 0.227 0.250 0.458
S3 S 0.181 0.750 0.017
S4 S 0.514 0.014 0.728
S5 S 0.514 0.486 0.728
Ba3 Ba 0.270 0.250 0.955
S6 S 0.819 0.250 0.983
S7 S 0.486 0.514 0.272
S8 S 0.080 0.750 0.334
Ba4 Ba 0.773 0.750 0.542
B2 B 0.277 0.750 0.216
# V	379.42	Å³ per cell
# energy	-0.1901	Ha/atom
# N(E_F)	0.24	states/eV/atom

=====

Repeat the fourth record exactly.
# Ba2BS4 PBE optimized geometry
data_Ba2BS4
_cell_length_a 6.934
_cell_length_b 5.844
_cell_length_c 9.556
_cell_angle_alpha 90.00
_cell_angle_beta 101.51
_cell_angle_gamma 90.00
_symmetry_space_group_name_H-M 'P 1'
_symmetry_Int_Tables_number 1
loop_
_symmetry_equiv_pos_as_xyz
'x,y,z'
loop_
_atom_site_label
_atom_site_type_symbol
_atom_site_fract_x
_atom_site_fract_y
_atom_site_fract_z
Ba1 Ba 0.730 0.750 0.045
S1 S 0.486 0.986 0.272
B1 B 0.723 0.250 0.784
S2 S 0.920 0.250 0.666
Ba2 Ba 0.227 0.250 0.458
S3 S 0.181 0.750 0.017
S4 S 0.514 0.014 0.728
S5 S 0.514 0.486 0.728
Ba3 Ba 0.270 0.250 0.955
S6 S 0.819 0.250 0.983
S7 S 0.486 0.514 0.272
S8 S 0.080 0.750 0.334
Ba4 Ba 0.773 0.750 0.542
B2 B 0.277 0.750 0.216
# V	379.42	Å³ per cell
# energy	-0.1901	Ha/atom
# N(E_F)	0.24	states/eV/atom